(1)
Density functional theory data (PBE-GGA) for a geometry-optimized PS6Br2 structure.

abc: 3.1154 8.8416 21.6447
angles: 90.00 97.65 90.00
Fractional coordinates of all 18 atoms:
P 0.0000 0.0000 0.0000
P 0.0000 0.5000 0.5000
S 0.1844 0.2213 0.1723
S 0.1844 0.2787 0.6723
S 0.2460 0.0778 0.2387
S 0.2460 0.4222 0.7387
S 0.4885 0.1728 0.9875
S 0.4885 0.3272 0.4875
S 0.5115 0.6728 0.5125
S 0.5115 0.8272 0.0125
S 0.7540 0.5778 0.2613
S 0.7540 0.9222 0.7613
S 0.8156 0.7213 0.3277
S 0.8156 0.7787 0.8277
Br 0.3363 0.1920 0.3356
Br 0.3363 0.3080 0.8356
Br 0.6637 0.6920 0.1644
Br 0.6637 0.8080 0.6644

* DFT total energy: -63.74 eV for the cell shown
* density: 2.2 Mg/m³
* V: 32.83 A^3/atom
* E_form (uncorrected): 184 meV/atom
* space-group type: No. 14

(2)
Density functional theory data (PBE-GGA) for a geometry-optimized TbY3Tm6Sc2 structure.

abc: 6.0227 6.0227 11.5336
angles: 94.99 94.99 119.95
Fractional coordinates of all 12 atoms:
Tb 0.0000 0.0000 0.0000
Y 0.1670 0.8330 0.5000
Y 0.5000 0.5000 0.5000
Y 0.8330 0.1670 0.5000
Tm 0.0818 0.4172 0.2438
Tm 0.2538 0.2538 0.7562
Tm 0.4172 0.0818 0.2438
Tm 0.5828 0.9182 0.7562
Tm 0.7462 0.7462 0.2438
Tm 0.9182 0.5828 0.7562
Sc 0.3332 0.6668 0.0000
Sc 0.6668 0.3332 0.0000

* DFT total energy: -63.00 eV for the cell shown
* density: 7.1 Mg/m³
* V: 29.75 A^3/atom
* space-group type: No. 12

(3)
Density functional theory data (PBE-GGA) for a geometry-optimized Na2PmPt9 structure.

abc: 9.3690 9.3690 9.3690
angles: 33.37 33.37 33.37
Fractional coordinates of all 12 atoms:
Na 0.1450 0.1450 0.1450
Na 0.8550 0.8550 0.8550
Pm 0.0000 0.0000 0.0000
Pt 0.0820 0.5856 0.5856
Pt 0.3328 0.3328 0.3328
Pt 0.4144 0.4144 0.9180
Pt 0.4144 0.9180 0.4144
Pt 0.5000 0.5000 0.5000
Pt 0.5856 0.0820 0.5856
Pt 0.5856 0.5856 0.0820
Pt 0.6672 0.6672 0.6672
Pt 0.9180 0.4144 0.4144

* DFT total energy: -67.94 eV for the cell shown
* density: 14.6 Mg/m³
* V: 18.46 A^3/atom
* space-group type: No. 166

(4)
Density functional theory data (PBE-GGA) for a geometry-optimized YRePt2Rh structure.

abc: 4.9419 4.9419 5.0466
angles: 90.00 90.00 90.00
Fractional coordinates of all 5 atoms:
Y 0.0000 0.0000 0.0000
Re 0.0000 0.0000 0.5000
Pt 0.0000 0.5000 0.0000
Pt 0.5000 0.0000 0.0000
Rh 0.5000 0.5000 0.5000

* DFT total energy: -27.94 eV for the cell shown
* density: 10.3 Mg/m³
* V: 24.65 A^3/atom
* space-group type: No. 123

(5)
Density functional theory data (PBE-GGA) for a geometry-optimized PrPaOs2 structure.

abc: 7.5672 7.5672 7.5672
angles: 29.68 29.68 29.68
Fractional coordinates of all 4 atoms:
Pr 0.0000 0.0000 0.0000
Pa 0.5000 0.5000 0.5000
Os 0.2422 0.2422 0.2422
Os 0.7578 0.7578 0.7578

* DFT total energy: -35.92 eV for the cell shown
* density: 13.3 Mg/m³
* V: 23.51 A^3/atom
* space-group type: No. 166
* ΔE to the lowest computed polymorph: 0.330 eV per atom

(6)
Density functional theory data (PBE-GGA) for a geometry-optimized Nb3CoS structure.

abc: 4.5238 4.5238 4.5238
angles: 90.00 90.00 90.00
Fractional coordinates of all 5 atoms:
Nb 0.0000 0.0000 0.5000
Nb 0.0000 0.5000 0.0000
Nb 0.5000 0.0000 0.0000
Co 0.5000 0.5000 0.5000
S 0.0000 0.0000 0.0000

* DFT total energy: -39.04 eV for the cell shown
* density: 6.6 Mg/m³
* V: 18.52 A^3/atom
* E_form (uncorrected): 480 meV/atom
* space-group type: No. 221
* ΔE to the lowest computed polymorph: 0.000 eV per atom

(7)
Density functional theory data (PBE-GGA) for a geometry-optimized Sr2CoP structure.

abc: 4.3847 4.4618 6.2141
angles: 90.00 90.00 90.00
Fractional coordinates of all 4 atoms:
Sr 0.0000 0.0000 0.0000
Sr 0.5000 0.5000 0.4992
Co 0.0000 0.0000 0.5004
P 0.5000 0.5000 0.9991

* DFT total energy: -15.63 eV for the cell shown
* density: 3.6 Mg/m³
* V: 30.39 A^3/atom
* space-group type: No. 25

(8)
Density functional theory data (PBE-GGA) for a geometry-optimized Ba2ReN4 structure.

abc: 6.3780 6.2892 7.8001
angles: 90.00 109.57 90.00
Fractional coordinates of all 14 atoms:
Ba 0.1917 0.2500 0.0203
Ba 0.2972 0.2500 0.5638
Ba 0.7028 0.7500 0.4362
Ba 0.8083 0.7500 0.9797
Re 0.2407 0.7500 0.7879
Re 0.7593 0.2500 0.2121
N 0.0597 0.5157 0.7281
N 0.0597 0.9843 0.7281
N 0.3865 0.7500 0.0355
N 0.4461 0.7500 0.6709
N 0.5539 0.2500 0.3291
N 0.6135 0.2500 0.9645
N 0.9403 0.0157 0.2719
N 0.9403 0.4843 0.2719

* DFT total energy: -106.08 eV for the cell shown
* density: 5.8 Mg/m³
* V: 21.06 A^3/atom
* E_form (uncorrected): -492 meV/atom
* space-group type: No. 11
* ΔE to the lowest computed polymorph: 0.000 eV per atom

(9)
Density functional theory data (PBE-GGA) for a geometry-optimized Mg2GeAu5 structure.

abc: 5.8522 5.8522 4.2201
angles: 90.00 90.00 94.57
Fractional coordinates of all 8 atoms:
Mg 0.2326 0.7674 0.0000
Mg 0.7674 0.2326 0.0000
Ge 0.5000 0.5000 0.5000
Au 0.0000 0.0000 0.5000
Au 0.0000 0.5000 0.5000
Au 0.2649 0.2649 0.0000
Au 0.5000 0.0000 0.5000
Au 0.7351 0.7351 0.0000

* DFT total energy: -26.80 eV for the cell shown
* density: 12.7 Mg/m³
* V: 18.01 A^3/atom
* space-group type: No. 65

(10)
Density functional theory data (PBE-GGA) for a geometry-optimized K3OsPd structure.

abc: 6.0365 6.0365 6.0365
angles: 90.00 90.00 90.00
Fractional coordinates of all 5 atoms:
K 0.0000 0.0000 0.5000
K 0.0000 0.5000 0.0000
K 0.5000 0.0000 0.0000
Os 0.5000 0.5000 0.5000
Pd 0.0000 0.0000 0.0000

* DFT total energy: -13.13 eV for the cell shown
* density: 3.1 Mg/m³
* V: 43.99 A^3/atom
* space-group type: No. 221
* ΔE to the lowest computed polymorph: 0.000 eV per atom

(11)
Density functional theory data (PBE-GGA) for a geometry-optimized BaBe2Co structure.

abc: 5.1103 5.1103 5.1103
angles: 135.56 109.52 87.24
Fractional coordinates of all 4 atoms:
Ba 0.0000 0.0000 0.0000
Be 0.5006 0.5006 0.0000
Be 0.6425 0.1425 0.5000
Co 0.3762 0.8762 0.5000

* DFT total energy: -14.14 eV for the cell shown
* density: 4.2 Mg/m³
* V: 21.08 A^3/atom
* space-group type: No. 44
* ΔE to the lowest computed polymorph: 0.458 eV per atom

(12)
Density functional theory data (PBE-GGA) for a geometry-optimized Tb3TiPd12 structure.

abc: 4.0853 4.0853 16.2942
angles: 90.00 90.00 90.00
Fractional coordinates of all 16 atoms:
Tb 0.0000 0.0000 0.0000
Tb 0.0000 0.0000 0.2558
Tb 0.0000 0.0000 0.7442
Ti 0.0000 0.0000 0.5000
Pd 0.0000 0.5000 0.1288
Pd 0.0000 0.5000 0.3872
Pd 0.0000 0.5000 0.6128
Pd 0.0000 0.5000 0.8712
Pd 0.5000 0.0000 0.1288
Pd 0.5000 0.0000 0.3872
Pd 0.5000 0.0000 0.6128
Pd 0.5000 0.0000 0.8712
Pd 0.5000 0.5000 0.0000
Pd 0.5000 0.5000 0.2578
Pd 0.5000 0.5000 0.5000
Pd 0.5000 0.5000 0.7422

* DFT total energy: -97.09 eV for the cell shown
* density: 11.0 Mg/m³
* V: 17.00 A^3/atom
* space-group type: No. 123